# 1
Compound: CaZnRu2
Source: the Alexandria database
Functional: PBE
Structure: optimized geometry

Cell: 3.963 3.963 4.261 Å, 90.00 90.00 90.00°
Fractional coordinates of all 4 atoms:
Ca (0.000, 0.000, 0.000)
Zn (0.500, 0.500, 0.000)
Ru (0.000, 0.500, 0.500)
Ru (0.500, 0.000, 0.500)

Results
Its space-group type is No. 123. Its density of states at the Fermi level is 0.928 states/eV per atom. The value obtained for the uncorrected energy is -5.11 eV per atom. The density comes out at 7634 kg/m³.

# 2
Compound: Ce3Co4Ge
Source: the Alexandria database
Functional: PBE
Structure: optimized geometry

Cell: 8.271 8.271 8.271 Å, 152.93 144.37 45.31°
Fractional coordinates of all 8 atoms:
Ce (0.000, 0.000, 0.000)
Ce (0.315, 0.815, 0.500)
Ce (0.685, 0.185, 0.500)
Co (0.104, 0.373, 0.730)
Co (0.357, 0.627, 0.730)
Co (0.643, 0.373, 0.270)
Co (0.896, 0.627, 0.270)
Ge (0.500, 0.500, 0.000)

Results
Its space-group type is No. 71. Its density of states at the Fermi level is 0.952 states/eV per atom. The value obtained for the uncorrected energy is -6.63 eV per atom. The density comes out at 8090 kg/m³.

# 3
Compound: YFeIr
Source: the Alexandria database
Functional: PBE
Structure: optimized geometry

Cell: 4.501 4.501 4.501 Å, 60.00 60.00 60.00°
Fractional coordinates of all 3 atoms:
Y (0.000, 0.000, 0.000)
Fe (0.500, 0.500, 0.500)
Ir (0.250, 0.250, 0.250)

Results
Its space-group type is No. 216. Its density of states at the Fermi level is 1.292 states/eV per atom. The value obtained for the uncorrected energy is -7.93 eV per atom. The density comes out at 8677 kg/m³.

What did the second record say?
Compound: Ce3Co4Ge
Source: the Alexandria database
Functional: PBE
Structure: optimized geometry

Cell: 8.271 8.271 8.271 Å, 152.93 144.37 45.31°
Fractional coordinates of all 8 atoms:
Ce (0.000, 0.000, 0.000)
Ce (0.315, 0.815, 0.500)
Ce (0.685, 0.185, 0.500)
Co (0.104, 0.373, 0.730)
Co (0.357, 0.627, 0.730)
Co (0.643, 0.373, 0.270)
Co (0.896, 0.627, 0.270)
Ge (0.500, 0.500, 0.000)

Results
Its space-group type is No. 71. Its density of states at the Fermi level is 0.952 states/eV per atom. The value obtained for the uncorrected energy is -6.63 eV per atom. The density comes out at 8090 kg/m³.

Please write out number 3 again, unchanged.
Compound: YFeIr
Source: the Alexandria database
Functional: PBE
Structure: optimized geometry

Cell: 4.501 4.501 4.501 Å, 60.00 60.00 60.00°
Fractional coordinates of all 3 atoms:
Y (0.000, 0.000, 0.000)
Fe (0.500, 0.500, 0.500)
Ir (0.250, 0.250, 0.250)

Results
Its space-group type is No. 216. Its density of states at the Fermi level is 1.292 states/eV per atom. The value obtained for the uncorrected energy is -7.93 eV per atom. The density comes out at 8677 kg/m³.

Which of these has the lowest uncorrected energy? YFeIr